[1]
! CaYSn2S | the Alexandria database | meta-GGA SCAN | single point on PBEsol structure; values from VASP
&SYSTEM
  ibrav = 0, nat = 5, ntyp = 4
/
ATOMIC_SPECIES
Y 88.91 Y.upf
Ca 40.08 Ca.upf
S 32.06 S.upf
Sn 118.71 Sn.upf
CELL_PARAMETERS angstrom
-1.759 3.098 -3.616
-5.199 -0.266 2.301
1.214 4.501 3.265
ATOMIC_POSITIONS angstrom
Y 0.000 0.000 0.000
Ca -2.872 3.666 0.975
S -0.879 1.549 -1.808
Sn 0.607 2.250 1.633
Sn -2.600 -0.133 1.150
! Total DFT energy (no corrections)   -24.12 eV per atom
! Formation energy from raw total energies   -7.4 kcal/mol of atoms

***

[2]
! Li2TlAg2 | the Alexandria database | meta-GGA SCAN | single point on PBEsol structure; values from VASP
&SYSTEM
  ibrav = 0, nat = 5, ntyp = 3
/
ATOMIC_SPECIES
Tl 204.38 Tl.upf
Ag 107.87 Ag.upf
Li 6.94 Li.upf
CELL_PARAMETERS angstrom
-1.241 -1.807 -3.296
-2.631 -2.061 2.120
-2.317 6.458 -0.291
ATOMIC_POSITIONS angstrom
Tl 0.000 0.000 0.000
Ag -3.342 3.556 -0.690
Ag -2.847 -0.965 -0.776
Li -3.442 1.231 0.621
Li -2.747 1.359 -2.087
! E above lowest polymorph   0.86 eV per formula unit
! Total DFT energy (no corrections)   -27.96 eV per atom
! DFT formation energy   9 kJ/mol of formula units

***

[3]
! SnIr2Se5 | the Alexandria database | meta-GGA SCAN | single point on PBEsol structure; values from VASP
&SYSTEM
  ibrav = 0, nat = 16, ntyp = 3
/
ATOMIC_SPECIES
Sn 118.71 Sn.upf
Ir 192.22 Ir.upf
Se 78.96 Se.upf
CELL_PARAMETERS angstrom
-0.468 -1.559 -3.404
4.345 -5.927 2.117
-11.299 -3.878 3.332
ATOMIC_POSITIONS angstrom
Sn -3.426 -3.067 -0.214
Sn -3.996 -8.297 2.260
Ir -8.456 -4.808 3.366
Ir 1.502 -4.997 2.083
Ir -6.565 -8.538 2.724
Ir -0.857 -2.827 -0.678
Se -5.931 -9.140 5.004
Se -1.023 -0.665 0.445
Se -0.538 -3.581 1.715
Se -6.416 -6.224 3.735
Se 2.346 -4.837 -0.198
Se -9.768 -6.527 2.244
Se -7.418 -4.687 1.077
Se -0.004 -6.677 0.969
Se -4.359 -3.341 2.131
Se -2.594 -6.464 3.318
! Total DFT energy (no corrections)   -35.26 eV per atom
! Formation energy from raw total energies   -10.3 kcal/mol of atoms

***

[4]
! ReTcHg2Pb | the Alexandria database | meta-GGA SCAN | single point on PBEsol structure; values from VASP
&SYSTEM
  ibrav = 0, nat = 5, ntyp = 4
/
ATOMIC_SPECIES
Pb 207.20 Pb.upf
Re 186.21 Re.upf
Hg 200.59 Hg.upf
Tc 98.00 Tc.upf
CELL_PARAMETERS angstrom
5.223 0.000 0.000
0.000 5.377 0.000
0.000 0.000 5.377
ATOMIC_POSITIONS angstrom
Pb 0.000 0.000 0.000
Re 2.612 2.688 2.688
Hg 0.000 0.000 2.688
Hg 0.000 2.688 0.000
Tc 2.612 0.000 0.000
! Total DFT energy (no corrections)   -61.30 eV per atom
! DFT formation energy   1135 kJ/mol of formula units

***

[5]
! Ga3TcOs | the Alexandria database | meta-GGA SCAN | single point on PBEsol structure; values from VASP
&SYSTEM
  ibrav = 0, nat = 5, ntyp = 3
/
ATOMIC_SPECIES
Os 190.23 Os.upf
Tc 98.00 Tc.upf
Ga 69.72 Ga.upf
CELL_PARAMETERS angstrom
-0.974 -4.531 0.636
1.710 0.242 4.347
-4.243 1.138 1.606
ATOMIC_POSITIONS angstrom
Os 0.000 0.000 0.000
Tc -1.754 -1.575 3.294
Ga 0.855 0.121 2.173
Ga -2.122 0.569 0.803
Ga -0.487 -2.265 0.318
! Total DFT energy (no corrections)   -30.47 eV per atom
! DFT formation energy   350 kJ/mol of formula units

***

[6]
! Mn3ZnSb | the Alexandria database | meta-GGA SCAN | single point on PBEsol structure; values from VASP
&SYSTEM
  ibrav = 0, nat = 5, ntyp = 3
/
ATOMIC_SPECIES
Sb 121.76 Sb.upf
Zn 65.41 Zn.upf
Mn 54.94 Mn.upf
CELL_PARAMETERS angstrom
-4.556 0.833 -1.593
1.281 -1.540 -4.469
-1.261 -4.574 1.215
ATOMIC_POSITIONS angstrom
Sb 0.000 0.000 0.000
Zn -2.268 -2.641 -2.423
Mn 0.640 -0.770 -2.235
Mn -0.630 -2.287 0.608
Mn -2.278 0.416 -0.796
! Total DFT energy (no corrections)   -20.38 eV per atom
! Formation energy from raw total energies   16.8 kcal/mol of atoms

***

[7]
! BaVAs2O8 | the Alexandria database | meta-GGA SCAN | single point on PBEsol structure; values from VASP
&SYSTEM
  ibrav = 0, nat = 48, ntyp = 4
/
ATOMIC_SPECIES
Ba 137.33 Ba.upf
V 50.94 V.upf
As 74.92 As.upf
O 16.00 O.upf
CELL_PARAMETERS angstrom
-4.651 -4.694 1.165
4.349 -1.173 -6.182
9.633 -7.509 8.203
ATOMIC_POSITIONS angstrom
Ba 1.305 -2.689 -0.685
Ba 7.951 -6.470 1.245
Ba 8.026 -10.688 3.871
Ba 1.380 -6.907 1.941
V 6.913 -7.760 7.233
V 6.687 -4.785 -2.974
V 2.644 -8.592 6.160
V 2.418 -5.618 -4.046
As 0.495 -6.432 -1.621
As 5.234 -8.297 4.302
As 2.407 -2.517 -4.227
As 6.924 -10.860 7.413
As 5.093 -5.273 3.292
As 4.097 -5.080 -1.116
As 8.836 -6.945 4.807
As 4.238 -8.105 -0.106
O 0.956 -2.834 -3.444
O 12.225 -8.814 2.780
O 3.985 -3.717 -0.163
O 2.801 -5.020 -2.239
O 3.726 -6.398 0.052
O 5.821 -3.214 -2.230
O 10.332 -7.630 1.205
O 0.762 -6.221 -3.323
O 5.606 -6.980 3.134
O 3.360 -1.952 -2.822
O 5.519 -5.769 -1.834
O 8.637 -8.066 3.589
O 5.971 -11.425 6.008
O 8.569 -7.156 6.509
O -1.001 -5.748 1.981
O 5.948 -8.080 -0.003
O 3.165 -3.962 -4.799
O 3.510 -10.163 5.416
O 6.530 -8.357 5.425
O 1.712 -3.702 1.728
O 3.383 -5.297 3.189
O 6.083 -4.596 2.116
O 5.533 -4.762 4.883
O 5.346 -9.660 3.349
O 0.694 -5.312 -0.403
O 3.812 -7.608 5.020
O 6.166 -9.415 7.985
O 7.619 -9.675 1.458
O -2.894 -4.564 0.406
O 8.375 -10.543 6.630
O 3.798 -8.615 -1.697
O 3.248 -8.781 1.070
! Total DFT energy (no corrections)   -14.36 eV per atom
! Formation energy from raw total energies   -48.0 kcal/mol of atoms

***

[8]
! Mn2FeN2 | the Alexandria database | meta-GGA SCAN | single point on PBEsol structure; values from VASP
&SYSTEM
  ibrav = 0, nat = 10, ntyp = 3
/
ATOMIC_SPECIES
Mn 54.94 Mn.upf
Fe 55.84 Fe.upf
N 14.01 N.upf
CELL_PARAMETERS angstrom
-0.048 -1.273 2.488
2.750 0.422 0.268
-1.990 9.807 4.979
ATOMIC_POSITIONS angstrom
Mn -1.309 6.073 3.865
Mn -0.705 3.099 2.355
Mn -0.349 7.577 6.225
Mn 1.037 0.743 2.756
Fe -0.012 -0.319 0.624
Fe 0.344 4.161 4.487
N -0.338 1.290 1.439
N -1.676 7.881 4.785
N 0.670 2.552 3.672
N 0.018 5.769 5.305
! Total DFT energy (no corrections)   -15.04 eV per atom
! Formation energy from raw total energies   -9.1 kcal/mol of atoms

***

[9]
! Mg3CrC | the Alexandria database | meta-GGA SCAN | single point on PBEsol structure; values from VASP
&SYSTEM
  ibrav = 0, nat = 5, ntyp = 3
/
ATOMIC_SPECIES
Cr 52.00 Cr.upf
Mg 24.30 Mg.upf
C 12.01 C.upf
CELL_PARAMETERS angstrom
5.123 0.000 0.000
0.000 5.123 0.000
0.000 0.000 5.123
ATOMIC_POSITIONS angstrom
Cr 0.000 0.000 0.000
Mg 0.000 2.561 0.000
Mg 0.000 0.000 2.561
Mg 2.561 0.000 0.000
C 2.561 2.561 2.561
! Total DFT energy (no corrections)   -6.75 eV per atom
! DFT formation energy   930 kJ/mol of formula units

***

[10]
! PbAu | the Alexandria database | meta-GGA SCAN | single point on PBEsol structure; values from VASP
&SYSTEM
  ibrav = 0, nat = 2, ntyp = 2
/
ATOMIC_SPECIES
Pb 207.20 Pb.upf
Au 196.97 Au.upf
CELL_PARAMETERS angstrom
-0.596 -4.141 -1.605
2.279 -1.352 -3.613
3.252 -3.054 0.416
ATOMIC_POSITIONS angstrom
Pb 1.234 -2.137 -1.200
Au 0.000 0.000 0.000
! Total DFT energy (no corrections)   -72.25 eV per atom
! DFT formation energy   43 kJ/mol of formula units

***

[11]
! LiCd2AuBr | the Alexandria database | meta-GGA SCAN | single point on PBEsol structure; values from VASP
&SYSTEM
  ibrav = 0, nat = 5, ntyp = 4
/
ATOMIC_SPECIES
Li 6.94 Li.upf
Au 196.97 Au.upf
Br 79.90 Br.upf
Cd 112.41 Cd.upf
CELL_PARAMETERS angstrom
-3.511 -1.655 -2.203
3.139 -2.772 -2.921
-0.285 -3.848 3.345
ATOMIC_POSITIONS angstrom
Li 0.000 0.000 0.000
Au -1.755 -0.827 -1.101
Br -0.328 -4.137 -0.889
Cd -0.143 -1.924 1.672
Cd 1.570 -1.386 -1.461
! Total DFT energy (no corrections)   -30.26 eV per atom
! Formation energy from raw total energies   2.5 kcal/mol of atoms